The following is a DFT calculation (PBE with a Hubbard U) of a relaxed structure of LiV2P3O12.

```
36
Lattice="8.874 0.169 0.066 4.013 7.432 -0.063 -0.001 -4.772 7.062" Properties=species:S:1:pos:R:3 pbc="T T T"
O 10.592 3.185 6.281
O 3.185 -1.229 5.811
O 2.991 -0.194 3.218
O 9.099 -0.546 3.267
O 5.184 -2.039 7.047
O 9.894 3.023 3.847
O 8.259 2.444 5.658
O 7.216 0.168 1.912
O 5.936 4.744 3.760
O 2.630 1.889 1.807
O 9.284 -1.518 5.899
O 6.946 0.299 4.441
O 5.940 2.530 2.624
O 5.670 2.661 5.153
O 9.701 4.058 1.254
O 3.787 3.375 3.798
O 4.626 0.386 1.407
O 3.601 4.347 1.166
O 5.012 0.431 6.478
O 2.294 -0.356 0.784
O 7.874 2.398 0.587
O 7.702 4.868 0.018
O 6.950 -1.915 3.305
O 10.255 0.940 5.258
P 3.153 0.421 1.824
P 8.669 3.667 0.208
P 5.339 3.306 3.783
P 7.547 -0.476 3.282
P 4.217 -0.838 6.857
P 9.733 2.408 5.241
Li 8.265 -3.346 5.828
Li 4.621 6.175 1.237
V 6.728 1.346 6.063
V 6.157 1.483 1.002
V 11.143 3.768 2.535
V 1.742 -0.939 4.530
```

Summary:
Total magnetic moment = 2.0 μB/f.u.
Uncorrected energy = -0.26892 hartree per atom